Material: ReSiTc
Method: DFT, GGA-PBEsol
State: optimized geometry

The structure belongs to space group I4mm (No. 107); the cell edges are 2.903, 2.903 and 9.417 Å and the angles 90.00°, 90.00° and 90.00°. Symmetry generates all atoms from Re at (0.000, 0.000, 0.000), Si at (0.000, 0.000, 0.661) and Tc at (0.000, 0.000, 0.317).

As for the mass density: 13066 kg/m³. The calculated volume comes out at 13.230 A^3/atom. The total energy is -10.4866 eV/atom. The calculation puts the energy relative to the elements, uncorrected at -0.3716 eV/atom. The total magnetization is 0.000 μB per formula unit.

---

Material: LaGaCuO2
Method: DFT, GGA-PBEsol
State: optimized geometry

The structure belongs to space group P4/mmm (No. 123); the cell edges are 4.160, 4.160 and 4.271 Å and the angles 90.00°, 90.00° and 90.00°. Symmetry generates all atoms from La at (0.000, 0.000, 0.000), Ga at (0.500, 0.500, 0.000), Cu at (0.500, 0.500, 0.500) and O at (0.000, 0.500, 0.500).

As for the mass density: 6835 kg/m³. The calculated volume comes out at 14.780 A^3/atom. The total energy is -5.4607 eV/atom. The calculation puts the energy relative to the elements, uncorrected at -0.7570 eV/atom. The total magnetization is 0.000 μB per formula unit.

---

Material: HgTe2Rh
Method: DFT, GGA-PBEsol
State: optimized geometry

The structure belongs to space group I4/mmm (No. 139); the cell edges are 4.996, 4.996 and 6.802 Å and the angles 90.00°, 90.00° and 90.00°. Symmetry generates all atoms from Hg at (0.000, 0.000, 0.000), Te at (0.000, 0.500, 0.250) and Rh at (0.000, 0.000, 0.500).

As for the mass density: 10929 kg/m³. The calculated volume comes out at 21.222 A^3/atom. Its energy above the most stable polymorph in this dataset is 0.5517 eV per atom. The total energy is -3.6482 eV/atom. The calculation puts the energy relative to the elements, uncorrected at 0.2912 eV/atom. The total magnetization is 0.000 μB per formula unit.

---

Material: ZnAgOs2
Method: DFT, GGA-PBEsol
State: optimized geometry

The structure belongs to space group C2/m (No. 12); the cell edges are 5.261, 9.396 and 2.717 Å and the angles 90.00°, 119.14° and 90.00°. Symmetry generates all atoms from Zn at (0.000, 0.000, 0.000), Ag at (0.000, 0.500, 0.000) and Os at (0.250, 0.250, 0.500).

As for the mass density: 15678 kg/m³. The calculated volume comes out at 14.662 A^3/atom. The total energy is -6.7724 eV/atom. The total magnetization is 0.001 μB per formula unit. The formation energy comes out at 0.56 eV per atom.

---

Material: CaAlIr2
Method: DFT, GGA-PBEsol
State: optimized geometry

The structure belongs to space group I-42d (No. 122); the cell edges are 4.648, 4.648 and 16.763 Å and the angles 90.00°, 90.00° and 90.00°. Symmetry generates all atoms from Ca at (0.000, 0.000, 0.000), Al at (0.000, 0.000, 0.500) and Ir at (0.080, 0.250, 0.625).

As for the mass density: 8281 kg/m³. The calculated volume comes out at 22.633 A^3/atom. The total energy is -6.4105 eV/atom. The total magnetization is 0.216 μB per formula unit. The formation energy comes out at 0.06 eV per atom.

---

Material: HgTeI2N
Method: DFT, GGA-PBEsol
State: optimized geometry

The structure belongs to space group P4/mmm (No. 123); the cell edges are 5.884, 5.884 and 5.580 Å and the angles 90.00°, 90.00° and 90.00°. Symmetry generates all atoms from Hg at (0.000, 0.000, 0.000), Te at (0.000, 0.000, 0.500), I at (0.000, 0.500, 0.000) and N at (0.500, 0.500, 0.500).

As for the mass density: 5124 kg/m³. The calculated volume comes out at 38.632 A^3/atom. The total energy is -1.8989 eV/atom. The calculation puts the energy relative to the elements, uncorrected at 1.3318 eV/atom. The total magnetization is 4.341 μB per formula unit.

---

Material: ScHgB2Ir
Method: DFT, GGA-PBEsol
State: optimized geometry

The structure belongs to space group P4/mmm (No. 123); the cell edges are 4.076, 4.076 and 5.224 Å and the angles 90.00°, 90.00° and 90.00°. Symmetry generates all atoms from Sc at (0.000, 0.000, 0.000), Hg at (0.500, 0.500, 0.500), B at (0.000, 0.500, 0.500) and Ir at (0.500, 0.500, 0.000).

As for the mass density: 8789 kg/m³. The calculated volume comes out at 17.359 A^3/atom. The total energy is -4.7236 eV/atom. The total magnetization is 0.000 μB per formula unit. The formation energy comes out at 1.48 eV per atom.

---

Material: MgPO2F
Method: DFT, GGA-PBEsol
State: optimized geometry

The structure belongs to space group P4/mmm (No. 123); the cell edges are 3.697, 3.697 and 5.419 Å and the angles 90.00°, 90.00° and 90.00°. Symmetry generates all atoms from Mg at (0.000, 0.000, 0.000), P at (0.000, 0.000, 0.500), O at (0.000, 0.500, 0.000) and F at (0.500, 0.500, 0.500).

As for the mass density: 2383 kg/m³. The calculated volume comes out at 14.810 A^3/atom. The total energy is -4.0683 eV/atom. The calculation puts the energy relative to the elements, uncorrected at -0.0814 eV/atom. The total magnetization is 2.693 μB per formula unit.

---

Material: RbPdOF2
Method: DFT, GGA-PBEsol
State: optimized geometry

The structure belongs to space group P4/mmm (No. 123); the cell edges are 4.402, 4.402 and 3.793 Å and the angles 90.00°, 90.00° and 90.00°. Symmetry generates all atoms from Rb at (0.000, 0.000, 0.000), Pd at (0.500, 0.500, 0.500), O at (0.500, 0.500, 0.000) and F at (0.000, 0.500, 0.500).

As for the mass density: 5555 kg/m³. The calculated volume comes out at 14.700 A^3/atom. The total energy is -4.6898 eV/atom. The calculation puts the energy relative to the elements, uncorrected at -1.4722 eV/atom. The total magnetization is 0.338 μB per formula unit.

---

Material: RbTmMnSe3
Method: DFT, GGA-PBEsol
State: optimized geometry

The structure belongs to space group Cmcm (No. 63); the cell edges are 4.095, 15.095 and 10.729 Å and the angles 90.00°, 90.00° and 90.00°. Symmetry generates all atoms from Rb at (0.000, 0.244, 0.250), Tm at (0.000, 0.500, 0.000), Mn at (0.000, 0.038, 0.750), Se at (0.000, 0.123, 0.556) and Se at (0.000, 0.439, 0.750).

As for the mass density: 5470 kg/m³. The calculated volume comes out at 27.637 A^3/atom. The total energy is -5.7920 eV/atom. The calculation puts the energy relative to the elements, uncorrected at -1.2527 eV/atom. The total magnetization is 5.003 μB per formula unit.

---

Material: BSb2PbI
Method: DFT, GGA-PBEsol
State: optimized geometry

The structure belongs to space group P4/mmm (No. 123); the cell edges are 4.929, 4.929 and 5.046 Å and the angles 90.00°, 90.00° and 90.00°. Symmetry generates all atoms from B at (0.000, 0.000, 0.000), Sb at (0.000, 0.500, 0.000), Pb at (0.500, 0.500, 0.500) and I at (0.000, 0.000, 0.500).

As for the mass density: 7970 kg/m³. The calculated volume comes out at 24.520 A^3/atom. The total energy is -3.7564 eV/atom. The calculation puts the energy relative to the elements, uncorrected at 0.6229 eV/atom. The total magnetization is 0.000 μB per formula unit.

---

Material: Li4Cr3CuO8
Method: DFT, GGA-PBEsol
State: optimized geometry

The structure belongs to space group R-3m (No. 166, hexagonal axes); the cell edges are 5.8067, 5.8067 and 14.1253 Å and the angles 90.00°, 90.00° and 120.00°. Symmetry generates all atoms from Li at (0.0000, 0.0000, 0.0000), Li at (0.0000, 0.5000, 0.0000), Cr at (0.0000, 0.5000, 0.5000), Cu at (0.0000, 0.0000, 0.5000), O at (0.0000, 0.0000, 0.2428) and O at (0.0160, 0.5080, 0.7583).

As for the mass density: 4533 kg/m³. The calculated volume comes out at 8.593 A^3/atom. The total energy is -7.1549 eV/atom. The calculation puts the energy relative to the elements, uncorrected at -1.8473 eV/atom. The total magnetization is 7.000 μB per formula unit.